A plane-wave DFT calculation with PBE with a Hubbard U was carried out for Li3MnCu3O8 after structural relaxation.

abc: 5.9332 5.9332 5.9332
angles: 59.12 59.12 59.12
Atoms (fractional coordinates):
O 0.7692 0.7692 0.2426
Mn 0.0000 0.0000 0.0000
O 0.2588 0.2588 0.2588
Cu 0.5000 0.0000 0.5000
Li 0.0000 0.5000 0.0000
Li 0.0000 0.0000 0.5000
O 0.2308 0.7574 0.2308
O 0.7574 0.2308 0.2308
Li 0.5000 0.0000 0.0000
Cu 0.0000 0.5000 0.5000
Cu 0.5000 0.5000 0.0000
O 0.2308 0.2308 0.7574
O 0.7692 0.2426 0.7692
O 0.7412 0.7412 0.7412
O 0.2426 0.7692 0.7692

Values from the calculation:
Its total magnetization is 8.8 μB/cell. The volume comes out at 9.65 Å³ per atom. The calculation puts the final energy at -5.42 eV/atom. The density of states at the Fermi level comes out at 3.66 states/eV per cell.